Computed, not measured: a relaxed structure of POsSe4 at the PBEsol level of DFT.

It has space group F-43m (No. 216), with a = 7.613 Å, b = 7.613 Å, c = 7.613 Å, α = 90.00°, β = 90.00° and γ = 90.00°. The inequivalent atoms are P at (0.000, 0.000, 0.000), Os at (0.250, 0.250, 0.750) and Se at (0.124, 0.124, 0.376).

For the density of states at the Fermi level, the calculation gives 20.444 states/eV/cell. The calculation puts the formation energy from raw total energies at 1.500 eV per atom. The calculation puts the calculated volume at 110.3 Å³/f.u. The calculation puts the calculated density at 8.09 g cm⁻³. For the final energy, the calculation gives -97.6 eV for the cell shown.